Entry 1:
# Li4Pd2Se, relaxed, DFT GGA-PBE
data_Li4Pd2Se
_symmetry_space_group_name_H-M 'I 4/m m m'
_symmetry_Int_Tables_number 139
_symmetry_space_group_name_Hall '-I 4 2'
_cell_length_a 4.647
_cell_length_b 4.647
_cell_length_c 12.683
_cell_angle_alpha 90.00
_cell_angle_beta 90.00
_cell_angle_gamma 90.00
loop_
_atom_site_label
_atom_site_fract_x
_atom_site_fract_y
_atom_site_fract_z
Li1 0.000 0.000 0.191
Li2 0.000 0.500 0.000
Pd1 0.000 0.000 0.391
Se1 0.000 0.000 0.000
# - total energy (eV for the cell shown) = -46.17
# - energy relative to the elements, uncorrected (eV per atom) = -0.222

***

Entry 2:
# Ba2Bi3Pd9, relaxed, DFT GGA-PBE
data_Ba2Bi3Pd9
_symmetry_space_group_name_H-M 'C m c m'
_symmetry_Int_Tables_number 63
_symmetry_space_group_name_Hall '-C 2c 2'
_cell_length_a 14.328
_cell_length_b 8.649
_cell_length_c 9.790
_cell_angle_alpha 90.00
_cell_angle_beta 90.00
_cell_angle_gamma 90.00
loop_
_atom_site_label
_atom_site_fract_x
_atom_site_fract_y
_atom_site_fract_z
Ba1 0.153 0.179 0.250
Bi1 0.000 0.000 0.000
Bi2 0.180 0.500 0.000
Pd1 0.000 0.149 0.750
Pd2 0.000 0.338 0.001
Pd3 0.097 0.439 0.750
Pd4 0.166 0.176 0.589
# - total energy (eV for the cell shown) = -273.06
# - calculated formation energy (eV/atom) = -0.43

***

Entry 3:
# ErPu6, relaxed, DFT GGA-PBE
data_ErPu6
_symmetry_space_group_name_H-M 'I m -3 m'
_symmetry_Int_Tables_number 229
_symmetry_space_group_name_Hall '-I 4 2 3'
_cell_length_a 6.686
_cell_length_b 6.686
_cell_length_c 6.686
_cell_angle_alpha 90.00
_cell_angle_beta 90.00
_cell_angle_gamma 90.00
loop_
_atom_site_label
_atom_site_fract_x
_atom_site_fract_y
_atom_site_fract_z
Er1 0.000 0.000 0.000
Pu1 0.000 0.250 0.500
# - total energy (eV for the cell shown) = -179.20
# - calculated formation energy (eV/atom) = 0.14

***

Entry 4:
# GaAg, relaxed, DFT GGA-PBE
data_GaAg
_symmetry_space_group_name_H-M 'P 42/m n m'
_symmetry_Int_Tables_number 136
_symmetry_space_group_name_Hall '-P 4n 2n'
_cell_length_a 5.269
_cell_length_b 5.269
_cell_length_c 5.742
_cell_angle_alpha 90.00
_cell_angle_beta 90.00
_cell_angle_gamma 90.00
loop_
_atom_site_label
_atom_site_fract_x
_atom_site_fract_y
_atom_site_fract_z
Ga1 0.186 0.186 0.000
Ag1 0.190 0.190 0.500
# - total energy (eV for the cell shown) = -22.46
# - calculated formation energy (eV/atom) = 0.13